[1]
A plane-wave DFT calculation with GGA-PBE was carried out for a relaxed structure of LiSc2As.

abc: 4.969 4.969 4.969
angles: 128.56 128.56 75.72
Atoms (fractional coordinates):
As: 0.750 0.250 0.500
Li: 0.250 0.750 0.500
Sc: 0.000 0.000 0.000
Sc: 0.500 0.500 0.000

## Properties
- E: -21.23 eV per cell
- Total moment: 0.000 μB/atom
- ΔE_f: -500 meV per atom

=====

[2]
A plane-wave DFT calculation with GGA-PBE was carried out for a relaxed structure of Te2AsPb2.

abc: 8.250 8.250 4.587
angles: 90.00 90.00 90.00
Atoms (fractional coordinates):
Pb: 0.151 0.651 0.500
Pb: 0.651 0.849 0.500
Pb: 0.849 0.349 0.500
Pb: 0.349 0.151 0.500
As: 0.000 0.000 0.000
As: 0.500 0.500 0.000
Te: 0.332 0.832 0.000
Te: 0.832 0.668 0.000
Te: 0.668 0.168 0.000
Te: 0.168 0.332 0.000

## Properties
- E: -35.92 eV per cell
- Total moment: 0.000 μB/atom
- ΔE_f (raw): 0.08 eV per atom

=====

Copy entry 1 word for word.
A plane-wave DFT calculation with GGA-PBE was carried out for a relaxed structure of LiSc2As.

abc: 4.969 4.969 4.969
angles: 128.56 128.56 75.72
Atoms (fractional coordinates):
As: 0.750 0.250 0.500
Li: 0.250 0.750 0.500
Sc: 0.000 0.000 0.000
Sc: 0.500 0.500 0.000

## Properties
- E: -21.23 eV per cell
- Total moment: 0.000 μB/atom
- ΔE_f: -500 meV per atom